ScHg3: single point on PBEsol structure, meta-GGA SCAN.

## Properties
Electronic total energy in hartree per atom: -2.0203
Formation energy in eV/atom: -0.293

The structure in POSCAR format:
```
ScHg3
1.0
4.748 0.000 0.000
0.000 4.748 0.000
0.000 0.000 7.313
Sc Hg
2 6
direct
0.000 0.000 0.000 Sc
0.500 0.500 0.500 Sc
0.000 0.000 0.500 Hg
0.000 0.500 0.250 Hg
0.000 0.500 0.750 Hg
0.500 0.000 0.250 Hg
0.500 0.000 0.750 Hg
0.500 0.500 0.000 Hg
```

***

ScHg5: single point on PBEsol structure, meta-GGA SCAN.

## Properties
Electronic total energy in hartree per atom: -2.1821
Formation energy in eV/atom: -0.200

The structure in POSCAR format:
```
ScHg5
1.0
4.390 0.000 0.000
0.000 12.882 0.000
0.000 0.000 4.520
Sc Hg
2 10
direct
0.000 0.000 0.000 Sc
0.500 0.500 0.000 Sc
0.000 0.162 0.500 Hg
0.000 0.334 0.000 Hg
0.000 0.500 0.500 Hg
0.000 0.666 0.000 Hg
0.000 0.838 0.500 Hg
0.500 0.000 0.500 Hg
0.500 0.166 0.000 Hg
0.500 0.338 0.500 Hg
0.500 0.662 0.500 Hg
0.500 0.834 0.000 Hg
```

***

ScHg3: single point on PBEsol structure, meta-GGA SCAN.

## Properties
Electronic total energy in hartree per atom: -2.0206
Formation energy in eV/atom: -0.299

The structure in POSCAR format:
```
ScHg3
1.0
9.612 0.000 0.000
0.000 3.525 0.000
-1.406 0.000 5.074
Sc Hg
2 6
direct
0.000 0.000 0.000 Sc
0.500 0.500 0.000 Sc
0.000 0.500 0.500 Hg
0.247 0.500 0.241 Hg
0.253 0.000 0.759 Hg
0.500 0.000 0.500 Hg
0.747 0.000 0.241 Hg
0.753 0.500 0.759 Hg
```

***

Sc3Hg5: single point on PBEsol structure, meta-GGA SCAN.

## Properties
Electronic total energy in hartree per atom: -1.7805
Formation energy in eV/atom: -0.507

The structure in POSCAR format:
```
Sc3Hg5
1.0
7.229 0.000 0.000
0.000 9.668 0.000
0.000 0.000 4.758
Sc Hg
6 10
direct
0.000 0.000 0.000 Sc
0.000 0.273 0.500 Sc
0.000 0.727 0.500 Sc
0.500 0.227 0.500 Sc
0.500 0.500 0.000 Sc
0.500 0.773 0.500 Sc
0.000 0.500 0.000 Hg
0.226 0.000 0.500 Hg
0.250 0.250 0.000 Hg
0.250 0.750 0.000 Hg
0.274 0.500 0.500 Hg
0.500 0.000 0.000 Hg
0.726 0.500 0.500 Hg
0.750 0.250 0.000 Hg
0.750 0.750 0.000 Hg
0.774 0.000 0.500 Hg
```

***

Sc3Hg: single point on PBEsol structure, meta-GGA SCAN.

## Properties
Electronic total energy in hartree per atom: -1.0267
Formation energy in eV/atom: -0.219

The structure in POSCAR format:
```
Sc3Hg
1.0
7.003 0.000 0.000
0.000 7.003 0.000
0.000 0.000 7.003
Sc Hg
12 4
direct
0.000 0.000 0.000 Sc
0.000 0.500 0.500 Sc
0.250 0.250 0.250 Sc
0.250 0.250 0.750 Sc
0.250 0.750 0.250 Sc
0.250 0.750 0.750 Sc
0.500 0.000 0.500 Sc
0.500 0.500 0.000 Sc
0.750 0.250 0.250 Sc
0.750 0.250 0.750 Sc
0.750 0.750 0.250 Sc
0.750 0.750 0.750 Sc
0.000 0.000 0.500 Hg
0.000 0.500 0.000 Hg
0.500 0.000 0.000 Hg
0.500 0.500 0.500 Hg
```

***

Sc3Hg: single point on PBEsol structure, meta-GGA SCAN.

## Properties
Electronic total energy in hartree per atom: -1.0314
Formation energy in eV/atom: -0.346

The structure in POSCAR format:
```
Sc3Hg
1.0
4.951 0.000 0.000
0.000 6.106 0.000
0.000 0.000 5.676
Sc Hg
6 2
direct
0.250 0.005 0.149 Sc
0.250 0.250 0.627 Sc
0.250 0.495 0.149 Sc
0.750 0.505 0.851 Sc
0.750 0.750 0.373 Sc
0.750 0.995 0.851 Sc
0.250 0.750 0.665 Hg
0.750 0.250 0.335 Hg
```